1.
Material: ZnAg2Br4
Method: DFT, GGA-PBE
State: relaxed

Unit cell a=7.2567 b=7.2567 c=7.2567 alpha=128.65 beta=128.65 gamma=75.58
Last column: nearest neighbours and their distance in Å.
Sites, in units of the cell vectors:
Ag 0.7500 0.2500 0.5000  4 Br 2.73
Ag 0.2500 0.7500 0.5000  4 Br 2.73
Br 0.6530 0.1215 0.0000  1 Zn 2.45, 2 Ag 2.73
Br 0.1215 0.6530 0.0000  1 Zn 2.45, 2 Ag 2.73
Br 0.3470 0.3470 0.4685  1 Zn 2.45, 2 Ag 2.73
Br 0.8785 0.8785 0.5315  1 Zn 2.45, 2 Ag 2.73
Zn 0.0000 0.0000 0.0000  4 Br 2.45

Results
uncorrected energy	-2.53	eV per atom
space-group type	No. 121
polymorph energy (0 for the lowest one)	0.000	eV/atom
crystal system	tetragonal

=====

2.
Material: YZn2B
Method: DFT, GGA-PBE
State: relaxed

Unit cell a=4.4865 b=4.4865 c=4.4865 alpha=60.00 beta=60.00 gamma=60.00
Last column: nearest neighbours and their distance in Å.
Sites, in units of the cell vectors:
B 0.5000 0.5000 0.5000  4 Y 2.75, 4 Zn 2.75
Y 0.2500 0.2500 0.2500  4 B 2.75, 4 Zn 2.75
Zn 0.0000 0.0000 0.0000  4 Y 2.75, 4 Zn 2.75
Zn 0.7500 0.7500 0.7500  4 B 2.75, 4 Zn 2.75

Results
uncorrected energy	-3.71	eV per atom
space-group type	No. 216
crystal system	cubic

=====

3.
Material: BeZnCuSn
Method: DFT, GGA-PBE
State: relaxed

Unit cell a=4.4399 b=4.4399 c=4.4399 alpha=60.00 beta=60.00 gamma=60.00
Last column: nearest neighbours and their distance in Å.
Sites, in units of the cell vectors:
Be 0.5000 0.5000 0.5000  4 Zn 2.72, 4 Sn 2.72
Cu 0.0000 0.0000 0.0000  4 Sn 2.72, 4 Zn 2.72
Sn 0.2500 0.2500 0.2500  4 Be 2.72, 4 Cu 2.72
Zn 0.7500 0.7500 0.7500  4 Be 2.72, 4 Cu 2.72

Results
uncorrected energy	-2.80	eV per atom
space-group type	No. 216
polymorph energy (0 for the lowest one)	0.000	eV/atom
crystal system	cubic

=====

4.
Material: PmSbN2O
Method: DFT, GGA-PBE
State: relaxed

Unit cell a=4.0575 b=3.9840 c=4.0738 alpha=90.00 beta=90.44 gamma=90.00
Last column: nearest neighbours and their distance in Å.
Sites, in units of the cell vectors:
N 0.9979 0.5000 0.4588  2 Sb 2.01-2.07
N 0.5296 0.5000 0.9947  2 Sb 2.00-2.08
O 0.5210 0.0000 0.4647  2 Sb 2.00
Pm 0.9622 0.0000 0.0380  1 O 2.50, 4 N 2.63-2.66
Sb 0.4904 0.5000 0.5043  2 O 2.00, 4 N 2.00-2.08

Results
uncorrected energy	-6.83	eV per atom
space-group type	No. 6
crystal system	monoclinic

=====

5.
Material: CoAgBPd
Method: DFT, GGA-PBE
State: relaxed

Unit cell a=4.1478 b=4.1478 c=4.1478 alpha=60.00 beta=60.00 gamma=60.00
Last column: nearest neighbours and their distance in Å.
Sites, in units of the cell vectors:
Ag 0.5000 0.5000 0.5000  4 Pd 2.54, 4 Co 2.54
B 0.0000 0.0000 0.0000  4 Co 2.54, 4 Pd 2.54
Co 0.7500 0.7500 0.7500  4 B 2.54, 4 Ag 2.54
Pd 0.2500 0.2500 0.2500  4 Ag 2.54, 4 B 2.54

Results
uncorrected energy	-4.75	eV per atom
space-group type	No. 216
polymorph energy (0 for the lowest one)	0.000	eV/atom
crystal system	cubic

=====

6.
Material: KGeAuSe3
Method: DFT, GGA-PBE
State: relaxed

Unit cell a=8.4451 b=8.4451 c=10.5342 alpha=90.00 beta=90.00 gamma=154.61
Last column: nearest neighbours and their distance in Å.
Sites, in units of the cell vectors:
Au 0.3838 0.6162 0.2500  2 Se 2.43
Au 0.6162 0.3838 0.7500  2 Se 2.43
Ge 0.0000 0.0000 0.0000  6 Se 2.66-2.72
Ge 0.0000 0.0000 0.5000  6 Se 2.66-2.72
K 0.7164 0.2836 0.2500  4 Se 3.30-3.42, 2 Au 3.33
K 0.2836 0.7164 0.7500  4 Se 3.30-3.42, 2 Au 3.33
Se 0.3854 0.6146 0.0193  1 Au 2.43, 2 Ge 2.66
Se 0.0423 0.9577 0.2500  2 Ge 2.72
Se 0.3854 0.6146 0.4807  1 Au 2.43, 2 Ge 2.66
Se 0.6146 0.3854 0.5193  1 Au 2.43, 2 Ge 2.66
Se 0.9577 0.0423 0.7500  2 Ge 2.72
Se 0.6146 0.3854 0.9807  1 Au 2.43, 2 Ge 2.66

Results
uncorrected energy	-3.58	eV per atom
space-group type	No. 63
crystal system	orthorhombic

=====

7.
Material: HoErAg2Sn2
Method: DFT, GGA-PBE
State: relaxed

Unit cell a=4.7192 b=4.7192 c=7.2905 alpha=90.00 beta=90.00 gamma=120.00
Last column: nearest neighbours and their distance in Å.
Sites, in units of the cell vectors:
Ag 0.6667 0.3333 0.4494  4 Sn 2.80-2.98, 3 Er 3.05
Ag 0.3333 0.6667 0.9500  4 Sn 2.80-2.99, 3 Ho 3.06
Er 0.0000 0.0000 0.2605  3 Ag 3.05, 6 Sn 3.16-3.40
Ho 0.0000 0.0000 0.7604  3 Ag 3.06, 6 Sn 3.16-3.40
Sn 0.6667 0.3333 0.0402  4 Ag 2.80-2.98
Sn 0.3333 0.6667 0.5396  4 Ag 2.80-2.99

Results
uncorrected energy	-4.38	eV per atom
space-group type	No. 156
crystal system	trigonal

=====

8.
Material: Gd4BiTe3
Method: DFT, GGA-PBE
State: relaxed

Unit cell a=7.6556 b=7.6556 c=7.6556 alpha=131.81 beta=131.81 gamma=70.52
Last column: nearest neighbours and their distance in Å.
Sites, in units of the cell vectors:
Bi 0.5000 0.5000 0.0000  6 Gd 3.13
Gd 0.2494 0.2494 0.0000  5 Te 3.12-3.13, 1 Bi 3.13
Gd 0.7506 0.7506 0.0000  5 Te 3.12-3.13, 1 Bi 3.13
Gd 0.5000 0.0000 0.5000  2 Bi 3.13, 4 Te 3.13
Gd 0.0000 0.5000 0.5000  2 Bi 3.13, 4 Te 3.13
Te 0.0000 0.0000 0.0000  6 Gd 3.12-3.13
Te 0.7500 0.2500 0.5000  6 Gd 3.13
Te 0.2500 0.7500 0.5000  6 Gd 3.13

Results
uncorrected energy	-5.26	eV per atom
space-group type	No. 139
crystal system	tetragonal

=====

9.
Material: KW
Method: DFT, GGA-PBE
State: relaxed

Unit cell a=2.8440 b=2.8441 c=6.3043 alpha=90.00 beta=90.00 gamma=120.00
Last column: nearest neighbours and their distance in Å.
Sites, in units of the cell vectors:
K 0.6667 0.3333 0.7500  6 K 2.84
W 0.3333 0.6667 0.2500  6 W 2.84

Results
uncorrected energy	-5.45	eV per atom
space-group type	No. 187
polymorph energy (0 for the lowest one)	0.000	eV/atom
crystal system	hexagonal

=====

10.
Material: Y2Cd3W4N3
Method: DFT, GGA-PBE
State: relaxed

Unit cell a=5.6974 b=5.6974 c=14.1181 alpha=101.54 beta=101.54 gamma=60.39
Last column: nearest neighbours and their distance in Å.
Sites, in units of the cell vectors:
Cd 0.5833 0.8937 0.2489  4 Cd 2.85-2.87, 4 W 3.00-3.05
Cd 0.0609 0.9391 0.2500  4 Cd 2.85-2.86, 4 W 2.99-3.03
Cd 0.1063 0.4167 0.2511  4 Cd 2.85-2.87, 4 W 3.00-3.05
Cd 0.8937 0.5833 0.7489  4 Cd 2.85-2.87, 4 W 3.00-3.05
Cd 0.9391 0.0609 0.7500  4 Cd 2.85-2.86, 4 W 2.99-3.03
Cd 0.4167 0.1063 0.7511  4 Cd 2.85-2.87, 4 W 3.00-3.05
N 0.5000 0.0000 0.0000  4 W 2.11-2.12
N 0.1884 0.6563 0.0002  4 W 2.14-2.16, 2 Y 2.37-2.38
N 0.3437 0.8116 0.4998  4 W 2.14-2.16, 2 Y 2.37-2.38
N 0.0000 0.5000 0.5000  4 W 2.11-2.12
N 0.6563 0.1884 0.5002  4 W 2.14-2.16, 2 Y 2.37-2.38
N 0.8116 0.3437 0.9998  4 W 2.14-2.16, 2 Y 2.37-2.38
W 0.8623 0.6938 0.0658  3 N 2.12-2.16
W 0.1805 0.0356 0.0662  3 N 2.11-2.16
W 0.9644 0.8195 0.4338  3 N 2.11-2.16
W 0.3062 0.1377 0.4342  3 N 2.12-2.16
W 0.6938 0.8623 0.5658  3 N 2.12-2.16
W 0.0356 0.1805 0.5661  3 N 2.11-2.16
W 0.8195 0.9644 0.9338  3 N 2.11-2.16
W 0.1377 0.3062 0.9342  3 N 2.12-2.16
Y 0.5374 0.3757 0.1130  3 N 2.37-2.47
Y 0.6243 0.4626 0.3870  3 N 2.37-2.47
Y 0.3757 0.5374 0.6130  3 N 2.37-2.47
Y 0.4626 0.6243 0.8870  3 N 2.37-2.47

Results
uncorrected energy	-7.99	eV per atom
space-group type	No. 15
crystal system	monoclinic